VASP calculation (GGA-PBE) on a relaxed structure of Li8PtPb6.

```
Li8PtPb6
1.0
4.116 2.376 5.503
-4.116 2.376 5.503
0.000 -4.753 5.503
Li Pt Pb
8 1 6
Cartesian
-1.194 -1.534 6.631
0.000 0.000 3.876
-1.925 0.267 9.878
-0.732 1.801 6.631
0.732 -1.801 9.878
1.925 -0.267 6.631
0.000 0.000 12.633
1.194 1.534 9.878
0.000 0.000 8.254
-3.240 0.549 7.022
-2.096 -2.531 9.487
1.144 -3.081 7.022
-1.144 3.081 9.487
2.096 2.531 7.022
3.240 -0.549 9.487
```

Values from the calculation:
Crystal system: trigonal
Energy relative to the elements, eV per atom: -0.210
Mass density, g/cm³: 7.681

VASP calculation (GGA-PBE) on a relaxed structure of Ba2InI5.

```
Ba2InI5
1.0
15.200 0.000 0.000
0.000 10.116 0.000
0.000 0.000 9.229
Ba In I
8 4 20
Cartesian
2.712 0.000 0.186
2.712 5.058 0.186
4.888 10.116 4.800
4.888 5.058 4.800
10.312 0.000 4.429
10.312 5.058 4.429
12.488 10.116 9.044
12.488 5.058 9.044
0.082 2.529 5.120
7.518 7.587 0.506
7.682 2.529 8.724
15.117 7.587 4.109
0.017 2.529 8.988
1.660 5.375 6.118
1.660 9.799 6.118
2.821 2.529 2.967
3.238 7.587 2.784
4.361 2.529 7.399
4.779 7.587 7.582
5.940 0.317 1.504
5.940 4.741 1.504
7.582 7.587 4.373
7.617 2.529 4.856
9.260 5.375 7.726
9.260 9.799 7.726
10.421 2.529 1.647
10.838 7.587 1.830
11.961 2.529 6.445
12.378 7.587 6.262
13.539 0.317 3.111
13.539 4.741 3.111
15.182 7.587 0.242
```

Values from the calculation:
Crystal system: orthorhombic
Formation energy without anion corrections, kJ/mol of formula units: -1092
Mass density, g/cm³: 4.793